Entry 1:
A relaxed BaTcCI2 crystal, computed with PBE.

abc: 6.789 5.411 6.789
angles: 90.00 90.00 90.00
Each line ends with the local moment (μB).
Element x y z (fractional)
C 0.000 0.500 0.000  1.17
I 0.500 0.000 0.000  0.09
Ba 0.000 0.000 0.000  0.15
I 0.000 0.000 0.500  0.09
Tc 0.500 0.500 0.500  4.43

## Properties
total moment = 1.736 μB per atom
E_tot = -3.391 eV per atom
formation energy without anion corrections = 1531 meV/atom
volume = 249 Å³ per cell

=====

Entry 2:
A relaxed TaTeCl crystal, computed with PBE.

abc: 8.700 8.420 3.241
angles: 84.00 74.26 21.74
Element x y z (fractional)
Cl 0.044 0.044 0.956
Ta 0.660 0.660 0.340
Te 0.295 0.295 0.705

## Properties
total moment = 0.000 μB per atom
E_tot = -5.759 eV per atom
formation energy without anion corrections = -145 meV/atom
volume = 77 Å³ per cell

=====

Entry 3:
A relaxed Co2Ag2Pd crystal, computed with PBE.

abc: 7.243 7.243 2.906
angles: 90.00 90.00 90.00
Each line ends with the local moment (μB).
Element x y z (fractional)
Ag 0.187 0.687 0.500  0.03
Ag 0.813 0.313 0.500  0.03
Co 0.107 0.393 0.000  1.83
Co 0.607 0.107 0.000  1.86
Co 0.893 0.607 0.000  1.83
Ag 0.687 0.813 0.500  0.03
Pd 0.500 0.500 0.000  0.11
Pd 0.000 0.000 0.000  0.11
Co 0.393 0.893 0.000  1.86
Ag 0.313 0.187 0.500  0.03

## Properties
total moment = 0.759 μB per atom
E_tot = -4.573 eV per atom
volume = 152 Å³ per cell
energy relative to the elements = 0.4481 eV/atom

=====

Entry 4:
A relaxed Rb3CaAg2Br6 crystal, computed with PBE.

abc: 8.107 8.107 8.638
angles: 90.00 90.00 120.00
Element x y z (fractional)
Br 0.835 0.669 0.699
Br 0.331 0.165 0.699
Br 0.835 0.165 0.699
Rb 0.000 0.000 0.000
Br 0.165 0.331 0.301
Br 0.669 0.835 0.301
Br 0.165 0.835 0.301
Ca 0.000 0.000 0.500
Rb 0.333 0.667 0.621
Rb 0.667 0.333 0.379
Ag 0.667 0.333 0.868
Ag 0.333 0.667 0.132

## Properties
total moment = 0.011 μB per atom
E_tot = -2.918 eV per atom
formation energy without anion corrections = -1197 meV/atom
volume = 492 Å³ per cell

=====

Entry 5:
A relaxed TlBiBr2Cl crystal, computed with PBE.

abc: 5.922 5.922 5.599
angles: 90.00 90.00 90.00
Element x y z (fractional)
Bi 0.000 0.000 0.000
Br 0.500 0.000 0.000
Cl 0.000 0.000 0.500
Br 0.000 0.500 0.000
Tl 0.500 0.500 0.500

## Properties
total moment = 0.000 μB per atom
E_tot = -2.908 eV per atom
formation energy without anion corrections = -620 meV/atom
volume = 196 Å³ per cell

=====

Entry 6:
A relaxed Tl2CoPdCl6 crystal, computed with PBE.

abc: 6.930 6.930 12.496
angles: 73.90 73.90 60.00
Each line ends with the local moment (μB).
Element x y z (fractional)
Cl 0.393 0.393 0.356  0.09
Co 0.587 0.587 0.239  0.02
Cl 0.393 0.857 0.356  0.09
Cl 0.218 0.692 0.873  0.00
Cl 0.692 0.218 0.873  0.00
Tl 0.113 0.113 0.662  0.00
Tl 0.702 0.702 0.893  0.01
Cl 0.143 0.607 0.644  0.09
Cl 0.218 0.218 0.873  0.00
Co 0.413 0.413 0.761  0.02
Cl 0.857 0.393 0.356  0.09
Cl 0.607 0.607 0.644  0.09
Tl 0.887 0.887 0.338  0.00
Cl 0.782 0.308 0.127  0.00
Tl 0.298 0.298 0.107  0.01
Pd 0.000 0.000 0.000  -0.05
Pd 0.500 0.500 0.500  0.98
Cl 0.782 0.782 0.127  0.00
Cl 0.308 0.782 0.127  0.00
Cl 0.607 0.143 0.644  0.09

## Properties
total moment = 0.085 μB per atom
E_tot = -3.466 eV per atom
formation energy without anion corrections = -655 meV/atom
volume = 492 Å³ per cell

=====

Entry 7:
A relaxed Tb6Ho8Sn crystal, computed with PBE.

abc: 6.727 9.107 9.107
angles: 120.00 90.00 90.00
Element x y z (fractional)
Tb 0.392 0.073 0.391
Ho 0.884 0.987 0.309
Ho 0.116 0.678 0.987
Tb 0.608 0.927 0.609
Sn 0.500 0.000 0.000
Ho 0.116 0.309 0.322
Tb 0.608 0.391 0.319
Ho 0.812 0.333 0.667
Ho 0.884 0.691 0.678
Tb 0.392 0.319 0.927
Ho 0.188 0.667 0.333
Ho 0.116 0.013 0.691
Tb 0.392 0.609 0.681
Ho 0.884 0.322 0.013
Tb 0.608 0.681 0.073

## Properties
total moment = 0.000 μB per atom
E_tot = -4.397 eV per atom
volume = 483 Å³ per cell
energy relative to the elements = 0.1632 eV/atom

=====

Entry 8:
A relaxed Al2AgBPd crystal, computed with PBE.

abc: 4.792 4.057 4.792
angles: 90.00 90.00 90.00
Element x y z (fractional)
Al 0.000 0.000 0.500
Al 0.500 0.000 0.000
Pd 0.000 0.000 0.000
Ag 0.500 0.500 0.500
B 0.000 0.500 0.000

## Properties
total moment = 0.000 μB per atom
E_tot = -3.998 eV per atom
volume = 93 Å³ per cell
energy relative to the elements = 0.4433 eV/atom

=====

> What is the formula in the seventh record?

Tb6Ho8Sn